# RbLi3Ge PBE-GGA optimized geometry
# Energy relative to the lowest polymorph listed for this composition   0 meV per atom
# Uncorrected energy   -12.11 eV per cell
# Space group   Pm-3m, No. 221
# Energy of formation from the pure elements   -15 kJ per mole of atoms
data_RbLi3Ge
_chemical_formula_sum 'Rb1 Li3 Ge1'
_space_group_name_H-M_alt 'P 1'
_space_group_IT_number 1
_space_group_name_Hall 'P 1'
_cell_length_a 5.112
_cell_length_b 5.112
_cell_length_c 5.112
_cell_angle_alpha 90.00
_cell_angle_beta 90.00
_cell_angle_gamma 90.00
loop_
_atom_site_label
_atom_site_type_symbol
_atom_site_fract_x
_atom_site_fract_y
_atom_site_fract_z
Rb1 Rb 0.500 0.500 0.500
Li1 Li 0.000 0.000 0.500
Li2 Li 0.500 0.000 0.000
Li3 Li 0.000 0.500 0.000
Ge1 Ge 0.000 0.000 0.000

---

# Rb2LiGe2 PBE-GGA optimized geometry
# Energy relative to the lowest polymorph listed for this composition   184 meV per atom
# Uncorrected energy   -23.66 eV per cell
# Space group   P4/mbm, No. 127
# Energy of formation from the pure elements   24 kJ per mole of atoms
data_Rb2LiGe2
_chemical_formula_sum 'Rb4 Li2 Ge4'
_space_group_name_H-M_alt 'P 1'
_space_group_IT_number 1
_space_group_name_Hall 'P 1'
_cell_length_a 10.477
_cell_length_b 10.477
_cell_length_c 3.340
_cell_angle_alpha 90.00
_cell_angle_beta 90.00
_cell_angle_gamma 90.00
loop_
_atom_site_label
_atom_site_type_symbol
_atom_site_fract_x
_atom_site_fract_y
_atom_site_fract_z
Rb1 Rb 0.292 0.792 0.000
Rb2 Rb 0.708 0.208 0.000
Rb3 Rb 0.208 0.292 0.000
Rb4 Rb 0.792 0.708 0.000
Ge1 Ge 0.918 0.418 0.500
Ge2 Ge 0.418 0.082 0.500
Ge3 Ge 0.082 0.582 0.500
Ge4 Ge 0.582 0.918 0.500
Li1 Li 0.000 0.000 0.000
Li2 Li 0.500 0.500 0.000

---

# Rb2Li2Ge PBE-GGA optimized geometry
# Uncorrected energy   -20.35 eV per cell
# Space group   P4/mbm, No. 127
# Energy of formation from the pure elements   4 kJ per mole of atoms
data_Rb2Li2Ge
_chemical_formula_sum 'Rb4 Li4 Ge2'
_space_group_name_H-M_alt 'P 1'
_space_group_IT_number 1
_space_group_name_Hall 'P 1'
_cell_length_a 7.448
_cell_length_b 7.448
_cell_length_c 6.168
_cell_angle_alpha 90.00
_cell_angle_beta 90.00
_cell_angle_gamma 90.00
loop_
_atom_site_label
_atom_site_type_symbol
_atom_site_fract_x
_atom_site_fract_y
_atom_site_fract_z
Rb1 Rb 0.683 0.817 0.500
Rb2 Rb 0.183 0.683 0.500
Rb3 Rb 0.817 0.317 0.500
Rb4 Rb 0.317 0.183 0.500
Li1 Li 0.211 0.289 0.000
Li2 Li 0.789 0.711 0.000
Li3 Li 0.711 0.211 0.000
Li4 Li 0.289 0.789 0.000
Ge1 Ge 0.000 0.000 0.000
Ge2 Ge 0.500 0.500 0.000

---

# Rb2LiGe2 PBE-GGA optimized geometry
# Energy relative to the lowest polymorph listed for this composition   0 meV per atom
# Uncorrected energy   -25.50 eV per cell
# Space group   P4/mbm, No. 127
# Energy of formation from the pure elements   6 kJ per mole of atoms
data_Rb2LiGe2
_chemical_formula_sum 'Rb4 Li2 Ge4'
_space_group_name_H-M_alt 'P 1'
_space_group_IT_number 1
_space_group_name_Hall 'P 1'
_cell_length_a 8.069
_cell_length_b 8.069
_cell_length_c 5.542
_cell_angle_alpha 90.00
_cell_angle_beta 90.00
_cell_angle_gamma 90.00
loop_
_atom_site_label
_atom_site_type_symbol
_atom_site_fract_x
_atom_site_fract_y
_atom_site_fract_z
Li1 Li 0.500 0.500 0.000
Li2 Li 0.000 0.000 0.000
Ge1 Ge 0.103 0.397 0.000
Ge2 Ge 0.397 0.897 0.000
Ge3 Ge 0.897 0.603 0.000
Ge4 Ge 0.603 0.103 0.000
Rb1 Rb 0.191 0.691 0.500
Rb2 Rb 0.809 0.309 0.500
Rb3 Rb 0.691 0.809 0.500
Rb4 Rb 0.309 0.191 0.500

---

# RbLiGe PBE-GGA optimized geometry
# Energy relative to the lowest polymorph listed for this composition   97 meV per atom
# Uncorrected energy   -15.68 eV per cell
# Space group   P1, No. 1
# Energy of formation from the pure elements   -11 kJ per mole of atoms
data_RbLiGe
_chemical_formula_sum 'Rb2 Li2 Ge2'
_space_group_name_H-M_alt 'P 1'
_space_group_IT_number 1
_space_group_name_Hall 'P 1'
_cell_length_a 4.053
_cell_length_b 4.896
_cell_length_c 11.594
_cell_angle_alpha 92.27
_cell_angle_beta 92.52
_cell_angle_gamma 112.32
loop_
_atom_site_label
_atom_site_type_symbol
_atom_site_fract_x
_atom_site_fract_y
_atom_site_fract_z
Li1 Li 0.136 0.616 0.457
Li2 Li 0.590 0.478 0.588
Ge1 Ge 0.887 0.074 0.530
Ge2 Ge 0.402 0.148 0.392
Rb1 Rb 0.019 0.492 0.179
Rb2 Rb 0.352 0.953 0.793

---

# RbLiGe PBE-GGA optimized geometry
# Energy relative to the lowest polymorph listed for this composition   254 meV per atom
# Uncorrected energy   -14.74 eV per cell
# Space group   I4/mmm, No. 139
# Energy of formation from the pure elements   4 kJ per mole of atoms
data_RbLiGe
_chemical_formula_sum 'Rb2 Li2 Ge2'
_space_group_name_H-M_alt 'P 1'
_space_group_IT_number 1
_space_group_name_Hall 'P 1'
_cell_length_a 3.529
_cell_length_b 3.529
_cell_length_c 14.448
_cell_angle_alpha 97.01
_cell_angle_beta 97.01
_cell_angle_gamma 90.00
loop_
_atom_site_label
_atom_site_type_symbol
_atom_site_fract_x
_atom_site_fract_y
_atom_site_fract_z
Ge1 Ge 0.676 0.676 0.351
Ge2 Ge 0.324 0.324 0.649
Li1 Li 0.776 0.776 0.553
Li2 Li 0.224 0.224 0.447
Rb1 Rb 0.088 0.088 0.177
Rb2 Rb 0.912 0.912 0.823